Entry 1:
Below is a geometry-optimized La4PmEr5 structure, with properties calculated at the PBE level.

```
La4PmEr5
1.0
8.582 -1.769 0.000
8.582 1.769 0.000
-0.067 0.000 11.509
La Pm Er
4 1 5
Direct
0.034 0.034 0.248 La
0.337 0.337 0.251 La
0.663 0.663 0.749 La
0.966 0.966 0.752 La
0.500 0.500 0.500 Pm
0.172 0.172 0.044 Er
0.174 0.174 0.451 Er
0.500 0.500 0.000 Er
0.826 0.826 0.549 Er
0.828 0.828 0.956 Er
```

Computed properties:
* offset from the most stable computed form: 4 meV/atom
* E_tot: -4.530 eV/atom
* formation energy: 191 kJ/mol of formula units

Entry 2:
Below is a geometry-optimized LaPm15Er4 structure, with properties calculated at the PBE level.

```
LaPm15Er4
1.0
5.134 0.000 0.000
0.000 5.134 0.000
0.000 0.000 25.632
La Pm Er
1 15 4
Direct
0.000 0.000 0.000 La
0.000 0.500 0.103 Pm
0.000 0.500 0.302 Pm
0.000 0.500 0.500 Pm
0.000 0.500 0.698 Pm
0.000 0.500 0.897 Pm
0.500 0.000 0.103 Pm
0.500 0.000 0.302 Pm
0.500 0.000 0.500 Pm
0.500 0.000 0.698 Pm
0.500 0.000 0.897 Pm
0.500 0.500 0.000 Pm
0.500 0.500 0.203 Pm
0.500 0.500 0.401 Pm
0.500 0.500 0.599 Pm
0.500 0.500 0.797 Pm
0.000 0.000 0.202 Er
0.000 0.000 0.401 Er
0.000 0.000 0.599 Er
0.000 0.000 0.798 Er
```

Computed properties:
* E_tot: -4.706 eV/atom
* formation energy: 31 kJ/mol of formula units

Entry 3:
Below is a geometry-optimized La2PmEr4 structure, with properties calculated at the PBE level.

```
La2PmEr4
1.0
-4.920 4.920 4.919
4.920 -4.920 4.919
4.920 4.920 -4.919
La Pm Er
4 2 8
Direct
0.002 0.125 0.377 La
0.375 0.998 0.123 La
0.748 0.625 0.623 La
0.875 0.252 0.877 La
0.250 0.750 0.500 Pm
0.500 0.500 0.000 Pm
0.125 0.541 0.749 Er
0.126 0.042 0.751 Er
0.291 0.375 0.249 Er
0.459 0.208 0.584 Er
0.624 0.875 0.416 Er
0.625 0.874 0.916 Er
0.792 0.376 0.251 Er
0.958 0.709 0.084 Er
```

Computed properties:
* offset from the most stable computed form: 8 meV/atom
* E_tot: -4.434 eV/atom
* formation energy: 176 kJ/mol of formula units

Entry 4:
Below is a geometry-optimized La3Pm2Er3 structure, with properties calculated at the PBE level.

```
La3Pm2Er3
1.0
-2.529 2.586 10.370
2.529 -2.586 10.370
2.529 2.586 -10.370
La Pm Er
3 2 3
Direct
0.000 0.000 0.000 La
0.377 0.877 0.500 La
0.623 0.123 0.500 La
0.249 0.249 0.000 Pm
0.751 0.751 0.000 Pm
0.126 0.626 0.500 Er
0.500 0.500 0.000 Er
0.874 0.374 0.500 Er
```

Computed properties:
* offset from the most stable computed form: 0 meV/atom
* E_tot: -4.718 eV/atom
* formation energy: 22 kJ/mol of formula units

Entry 5:
Below is a geometry-optimized LaPm2Er2 structure, with properties calculated at the PBE level.

```
LaPm2Er2
1.0
4.613 -4.353 0.000
4.613 4.353 0.000
-4.497 0.000 8.379
La Pm Er
2 4 4
Direct
0.073 0.927 0.750 La
0.927 0.073 0.250 La
0.222 0.368 0.662 Pm
0.368 0.222 0.162 Pm
0.632 0.778 0.838 Pm
0.778 0.632 0.338 Pm
0.255 0.663 0.047 Er
0.337 0.745 0.453 Er
0.663 0.255 0.547 Er
0.745 0.337 0.953 Er
```

Computed properties:
* offset from the most stable computed form: 47 meV/atom
* E_tot: -4.587 eV/atom
* formation energy: 60 kJ/mol of formula units

Entry 6:
Below is a geometry-optimized LaPm8Er2 structure, with properties calculated at the PBE level.

```
LaPm8Er2
1.0
9.761 -3.542 0.000
9.761 3.542 0.000
-0.326 0.000 5.644
La Pm Er
1 8 2
Direct
0.000 0.000 0.000 La
0.135 0.596 0.269 Pm
0.189 0.189 0.232 Pm
0.404 0.865 0.731 Pm
0.455 0.455 0.761 Pm
0.545 0.545 0.239 Pm
0.596 0.135 0.269 Pm
0.811 0.811 0.768 Pm
0.865 0.404 0.731 Pm
0.285 0.285 0.747 Er
0.715 0.715 0.253 Er
```

Computed properties:
* E_tot: -4.600 eV/atom
* formation energy: 140 kJ/mol of formula units

Entry 7:
Below is a geometry-optimized LaPm3Er5 structure, with properties calculated at the PBE level.

```
LaPm3Er5
1.0
-4.349 4.349 7.778
4.349 -4.349 7.778
4.349 4.349 -7.778
La Pm Er
2 6 10
Direct
0.250 0.750 0.500 La
0.750 0.250 0.500 La
0.117 0.617 0.735 Pm
0.250 0.250 0.000 Pm
0.383 0.117 0.500 Pm
0.617 0.883 0.500 Pm
0.750 0.750 0.000 Pm
0.883 0.383 0.265 Pm
0.000 0.000 0.000 Er
0.072 0.157 0.500 Er
0.157 0.657 0.085 Er
0.343 0.428 0.500 Er
0.428 0.928 0.085 Er
0.500 0.500 0.000 Er
0.572 0.072 0.915 Er
0.657 0.572 0.500 Er
0.843 0.343 0.915 Er
0.928 0.843 0.500 Er
```

Computed properties:
* E_tot: -4.421 eV/atom
* formation energy: 212 kJ/mol of formula units

Entry 8:
Below is a geometry-optimized La3Pm2Er structure, with properties calculated at the PBE level.

```
La3Pm2Er
1.0
6.386 0.000 0.000
-3.193 5.531 0.000
0.000 0.000 11.951
La Pm Er
6 4 2
Direct
0.000 0.331 0.250 La
0.000 0.669 0.750 La
0.331 0.000 0.250 La
0.331 0.331 0.750 La
0.669 0.000 0.750 La
0.669 0.669 0.250 La
0.333 0.667 0.000 Pm
0.333 0.667 0.500 Pm
0.667 0.333 0.000 Pm
0.667 0.333 0.500 Pm
0.000 0.000 0.000 Er
0.000 0.000 0.500 Er
```

Computed properties:
* offset from the most stable computed form: 9 meV/atom
* E_tot: -4.780 eV/atom
* formation energy: 16 kJ/mol of formula units

Entry 9:
Below is a geometry-optimized LaPm3Er structure, with properties calculated at the PBE level.

```
LaPm3Er
1.0
10.393 0.000 0.000
0.000 4.849 3.490
0.000 -4.849 3.490
La Pm Er
2 6 2
Direct
0.250 0.191 0.809 La
0.750 0.809 0.191 La
0.065 0.662 0.961 Pm
0.250 0.655 0.451 Pm
0.435 0.662 0.961 Pm
0.565 0.961 0.662 Pm
0.750 0.451 0.655 Pm
0.935 0.961 0.662 Pm
0.000 0.276 0.276 Er
0.500 0.276 0.276 Er
```

Computed properties:
* offset from the most stable computed form: 182 meV/atom
* E_tot: -4.545 eV/atom
* formation energy: 98 kJ/mol of formula units

Entry 10:
Below is a geometry-optimized La2Pm8Er3 structure, with properties calculated at the PBE level.

```
La2Pm8Er3
1.0
10.538 -3.851 0.000
10.538 3.851 0.000
-0.003 0.000 5.644
La Pm Er
2 8 3
Direct
0.241 0.241 0.499 La
0.759 0.759 0.501 La
0.127 0.127 0.000 Pm
0.192 0.603 0.500 Pm
0.336 0.336 0.999 Pm
0.397 0.808 0.500 Pm
0.603 0.192 0.500 Pm
0.664 0.664 0.001 Pm
0.808 0.397 0.500 Pm
0.873 0.873 0.000 Pm
0.000 0.000 0.500 Er
0.285 0.715 0.000 Er
0.715 0.285 0.000 Er
```

Computed properties:
* E_tot: -4.528 eV/atom
* formation energy: 260 kJ/mol of formula units

Entry 11:
Below is a geometry-optimized La5PmEr2 structure, with properties calculated at the PBE level.

```
La5PmEr2
1.0
-1.824 5.689 6.757
1.824 -5.689 6.757
1.824 5.689 -6.757
La Pm Er
5 1 2
Direct
0.000 0.000 0.000 La
0.100 0.369 0.731 La
0.361 0.631 0.731 La
0.639 0.369 0.269 La
0.900 0.631 0.269 La
0.500 0.000 0.500 Pm
0.259 0.259 0.000 Er
0.741 0.741 0.000 Er
```

Computed properties:
* E_tot: -4.779 eV/atom
* formation energy: 27 kJ/mol of formula units

Entry 12:
Below is a geometry-optimized La16Pm7Er6 structure, with properties calculated at the PBE level.

```
La16Pm7Er6
1.0
0.000 8.135 8.135
8.135 0.000 8.135
8.135 8.135 0.000
La Pm Er
16 7 6
Direct
0.049 0.650 0.650 La
0.125 0.125 0.125 La
0.125 0.125 0.626 La
0.125 0.626 0.125 La
0.350 0.350 0.350 La
0.350 0.350 0.951 La
0.350 0.951 0.350 La
0.374 0.875 0.875 La
0.626 0.125 0.125 La
0.650 0.049 0.650 La
0.650 0.650 0.049 La
0.650 0.650 0.650 La
0.875 0.374 0.875 La
0.875 0.875 0.374 La
0.875 0.875 0.875 La
0.951 0.350 0.350 La
0.000 0.000 0.000 Pm
0.000 0.000 0.500 Pm
0.000 0.500 0.000 Pm
0.000 0.500 0.500 Pm
0.500 0.000 0.000 Pm
0.500 0.000 0.500 Pm
0.500 0.500 0.000 Pm
0.261 0.261 0.739 Er
0.261 0.739 0.261 Er
0.261 0.739 0.739 Er
0.739 0.261 0.261 Er
0.739 0.261 0.739 Er
0.739 0.739 0.261 Er
```

Computed properties:
* E_tot: -4.607 eV/atom
* formation energy: 566 kJ/mol of formula units

Please write out number 2 again, unchanged.
Below is a geometry-optimized LaPm15Er4 structure, with properties calculated at the PBE level.

```
LaPm15Er4
1.0
5.134 0.000 0.000
0.000 5.134 0.000
0.000 0.000 25.632
La Pm Er
1 15 4
Direct
0.000 0.000 0.000 La
0.000 0.500 0.103 Pm
0.000 0.500 0.302 Pm
0.000 0.500 0.500 Pm
0.000 0.500 0.698 Pm
0.000 0.500 0.897 Pm
0.500 0.000 0.103 Pm
0.500 0.000 0.302 Pm
0.500 0.000 0.500 Pm
0.500 0.000 0.698 Pm
0.500 0.000 0.897 Pm
0.500 0.500 0.000 Pm
0.500 0.500 0.203 Pm
0.500 0.500 0.401 Pm
0.500 0.500 0.599 Pm
0.500 0.500 0.797 Pm
0.000 0.000 0.202 Er
0.000 0.000 0.401 Er
0.000 0.000 0.599 Er
0.000 0.000 0.798 Er
```

Computed properties:
* E_tot: -4.706 eV/atom
* formation energy: 31 kJ/mol of formula units

Which formula does entry 3 have?
La2PmEr4

The highest formation energy belongs to which entry?
La16Pm7Er6